First-principles (PBE-GGA) data for an optimized crystal structure of CoAgSe2, as listed in Alexandria.

Properties
The total energy is -17.5 eV/f.u. Its density of states at the Fermi level is 1.9 states/eV/f.u. The uncorrected formation energy is -0.132 eV/atom.

Unit cell a=17.0842 b=3.3925 c=8.6873 alpha=90.00 beta=143.08 gamma=90.00
Last column: nearest neighbours and their distance in Å.
Positions (direct):
1 Se 0.9107 0.7510 0.4953  3 Co 2.32-2.36
2 Co 0.7939 0.2510 0.4407  5 Se 2.32-2.38
3 Co 0.2939 0.2490 0.9407  5 Se 2.32-2.38
4 Se 0.0893 0.2490 0.5047  3 Co 2.32-2.36
5 Se 0.2436 0.2490 0.4312  2 Co 2.38, 1 Ag 2.58
6 Co 0.2061 0.7490 0.5593  5 Se 2.32-2.38
7 Se 0.4107 0.7490 0.9953  3 Co 2.32-2.36
8 Se 0.2564 0.7490 0.0688  2 Co 2.38, 1 Ag 2.58
9 Ag 0.9565 0.7499 0.0638  1 Se 2.58, 1 Co 2.71
10 Ag 0.4565 0.7501 0.5638  1 Se 2.58, 1 Co 2.71
11 Se 0.7564 0.7510 0.5688  2 Co 2.38, 1 Ag 2.58
12 Se 0.7436 0.2510 0.9312  2 Co 2.38, 1 Ag 2.58
13 Ag 0.0435 0.2501 0.9362  1 Se 2.58, 1 Co 2.71
14 Se 0.5893 0.2510 0.0047  3 Co 2.32-2.36
15 Co 0.7061 0.7510 0.0593  5 Se 2.32-2.38
16 Ag 0.5435 0.2499 0.4362  1 Se 2.58, 1 Co 2.71

First-principles (PBE-GGA) data for an optimized crystal structure of CoAgSe2, as listed in Alexandria.

Properties
The total energy is -16.9 eV/f.u. Its density of states at the Fermi level is 5.7 states/eV/f.u. The uncorrected formation energy is 0.013 eV/atom.

Unit cell a=3.9768 b=3.9768 c=5.7643 alpha=90.00 beta=90.00 gamma=120.00
Last column: nearest neighbours and their distance in Å.
Positions (direct):
1 Se 0.3333 0.6667 0.7605  1 Co 2.23
2 Co 0.3333 0.6667 0.3734  4 Se 2.23-2.32
3 Se 0.6667 0.3333 0.3172  3 Co 2.32
4 Ag 0.0000 0.0000 0.0038  6 Se 2.69-2.92

First-principles (PBE-GGA) data for an optimized crystal structure of CoAgSe2, as listed in Alexandria.

Properties
The total energy is -16.9 eV/f.u. Its density of states at the Fermi level is 3.7 states/eV/f.u. The uncorrected formation energy is 0.011 eV/atom.

Unit cell a=5.1667 b=5.1667 c=6.7913 alpha=67.64 beta=67.64 gamma=90.00
Last column: nearest neighbours and their distance in Å.
Positions (direct):
1 Se 0.7067 0.7067 0.5866  3 Co 2.37-2.63, 2 Ag 2.63
2 Ag 0.0000 0.0000 0.0000  4 Se 2.63
3 Se 0.0433 0.5433 0.9134  3 Co 2.37-2.63, 2 Ag 2.63
4 Se 0.2933 0.2933 0.4134  3 Co 2.37-2.63, 2 Ag 2.63
5 Co 0.5000 0.5000 0.0000  6 Se 2.37-2.63
6 Ag 0.7500 0.2500 0.5000  4 Se 2.63
7 Se 0.4567 0.9567 0.0866  3 Co 2.37-2.63, 2 Ag 2.63
8 Co 0.2500 0.7500 0.5000  6 Se 2.37-2.63

First-principles (PBE-GGA) data for an optimized crystal structure of CoAgSe2, as listed in Alexandria.

Properties
The total energy is -16.6 eV/f.u. Its density of states at the Fermi level is 2.9 states/eV/f.u. The uncorrected formation energy is 0.088 eV/atom.

Unit cell a=7.6330 b=7.6330 c=7.6330 alpha=155.54 beta=156.59 gamma=34.11
Last column: nearest neighbours and their distance in Å.
Positions (direct):
1 Ag 0.5576 0.5576 0.0000  6 Se 2.84-2.99, 2 Ag 3.10
2 Se 0.9214 0.9214 0.0000  2 Co 2.40
3 Se 0.2211 0.7211 0.5000  4 Co 2.52
4 Co 0.8000 0.3000 0.5000  6 Se 2.40-2.52

> Which of these has the lowest density of states at the Fermi level?

number 1

> What is the uncorrected formation energy in the fourth record?

0.088 eV/atom

> Number 4 is which compound?

CoAgSe2

> Among the records above, which one has the lowest uncorrected formation energy?

number 1